[1]
An optimized crystal structure of ZnBW2, computed with PBE.

Results
E above lowest polymorph ... 0.362 eV per atom

Unit cell a=5.919 b=5.919 c=5.919 alpha=90.00 beta=90.00 gamma=90.00
Space group Fm-3m (No. 225)
One atom of each set of equivalent atoms:
Zn1 0.000 0.000 0.000
B1 0.000 0.000 0.500
W1 0.250 0.250 0.250

[2]
An optimized crystal structure of Li3ZnPd3, computed with PBE.

Results
E above lowest polymorph ... 0.183 eV per atom

Unit cell a=6.5350 b=6.5350 c=17.7042 alpha=90.00 beta=90.00 gamma=120.00
Space group R-3 (No. 148, hexagonal axes)
One atom of each set of equivalent atoms:
Li1 0.0421 0.6107 0.3782
Zn1 0.0000 0.0000 0.1624
Pd1 0.0152 0.7556 0.5611

[3]
An optimized crystal structure of Pr2SbPd, computed with PBE.

Results
Formation energy (no corrections) ... -3.64 eV per formula unit
E above lowest polymorph ... 0.000 eV per atom

Unit cell a=6.343 b=4.447 c=8.609 alpha=90.00 beta=111.33 gamma=90.00
Space group P2_1/m (No. 11)
One atom of each set of equivalent atoms:
Pr1 0.215 0.250 0.445
Pr2 0.224 0.250 0.908
Sb1 0.324 0.750 0.203
Pd1 0.346 0.750 0.708

[4]
An optimized crystal structure of Sr5CdIr, computed with PBE.

Results
Electronic total energy ... -0.203 Ry/atom

Unit cell a=9.897 b=10.851 c=10.773 alpha=90.00 beta=97.94 gamma=90.00
Space group C2/c (No. 15)
One atom of each set of equivalent atoms:
Sr1 0.000 0.129 0.250
Sr2 0.122 0.218 0.628
Sr3 0.213 0.429 0.014
Cd1 0.000 0.473 0.250
Ir1 0.000 0.000 0.000

[5]
An optimized crystal structure of Sr4MnCd, computed with PBE.

Results
Electronic total energy ... -0.155 Ry/atom

Unit cell a=10.189 b=10.189 c=10.189 alpha=90.00 beta=90.00 gamma=90.00
Space group F-43m (No. 216)
One atom of each set of equivalent atoms:
Sr1 0.125 0.125 0.125
Mn1 0.000 0.000 0.500
Cd1 0.250 0.250 0.750

[6]
An optimized crystal structure of Pm2SmPuSe4, computed with PBE.

Results
Formation energy (no corrections) ... -14.17 eV per formula unit

Unit cell a=7.242 b=4.159 c=7.247 alpha=90.00 beta=109.20 gamma=90.00
Space group P2/m (No. 10)
One atom of each set of equivalent atoms:
Pm1 0.000 0.000 0.000
Pm2 0.500 0.500 0.000
Sm1 0.000 0.500 0.500
Pu1 0.500 0.000 0.500
Se1 0.250 0.000 0.747
Se2 0.253 0.500 0.254

[7]
An optimized crystal structure of ZnInBrCl2, computed with PBE.

Results
Formation energy (no corrections) ... -4.62 eV per formula unit
E above lowest polymorph ... 0.000 eV per atom

Unit cell a=7.499 b=5.738 c=7.990 alpha=90.00 beta=104.43 gamma=90.00
Space group P2_1/m (No. 11)
One atom of each set of equivalent atoms:
Zn1 0.082 0.250 0.158
In1 0.292 0.250 0.659
Br1 0.405 0.250 0.279
Cl1 0.051 0.750 0.128
Cl2 0.087 0.750 0.645

[8]
An optimized crystal structure of PmHoTlSb, computed with PBE.

Results
Formation energy (no corrections) ... -2.09 eV per formula unit

Unit cell a=7.658 b=7.658 c=7.658 alpha=90.00 beta=90.00 gamma=90.00
Space group F-43m (No. 216)
One atom of each set of equivalent atoms:
Pm1 0.000 0.000 0.000
Ho1 0.000 0.000 0.500
Tl1 0.250 0.250 0.750
Sb1 0.250 0.250 0.250